# 1
Here is a relaxed structure of TaPt6Rh3 from the Alexandria database. Energies are from PBE-GGA.

Lattice parameters (Å, degrees): 3.954 8.809 8.880 90.59 90.00 90.00
Fractional positions:
Ta1 0.250 0.939 0.618
Pt1 0.250 0.052 0.900
Pt2 0.750 0.948 0.100
Pt3 0.250 0.859 0.308
Rh1 0.250 0.351 0.802
Pt4 0.750 0.844 0.797
Pt5 0.250 0.242 0.505
Pt6 0.750 0.758 0.495
Ta2 0.750 0.061 0.382
Pt7 0.250 0.156 0.203
Pt8 0.250 0.646 0.693
Rh2 0.750 0.649 0.198
Pt9 0.750 0.550 0.901
Pt10 0.750 0.141 0.692
Rh3 0.750 0.255 0.994
Rh4 0.250 0.549 0.394
Pt11 0.750 0.354 0.307
Rh5 0.250 0.745 0.006
Pt12 0.250 0.450 0.099
Rh6 0.750 0.451 0.606

- M_tot: 0.000 μB per formula unit
- Formation energy: -2.55 eV per formula unit
- Raw total energy: -7.27 eV per atom
- Theoretical density: 17.83 g/cm3

---

# 2
Here is a relaxed structure of Ta2PtRh from the Alexandria database. Energies are from PBE-GGA.

Lattice parameters (Å, degrees): 9.429 9.429 9.429 17.41 17.41 17.41
Fractional positions:
Pt1 0.500 0.500 0.500
Rh1 0.000 0.000 0.000
Ta1 0.252 0.252 0.252
Ta2 0.748 0.748 0.748

- M_tot: 0.000 μB per formula unit
- Formation energy: -1.18 eV per formula unit
- Raw total energy: -9.57 eV per atom
- Theoretical density: 16.73 g/cm3

---

# 3
Here is a relaxed structure of TaPt12Rh6 from the Alexandria database. Energies are from PBE-GGA.

Lattice parameters (Å, degrees): 7.063 7.063 7.063 75.55 75.55 75.55
Fractional positions:
Pt1 0.026 0.663 0.862
Rh1 0.888 0.367 0.788
Pt2 0.974 0.337 0.138
Rh2 0.633 0.212 0.112
Pt3 0.788 0.500 0.443
Rh3 0.212 0.112 0.633
Pt4 0.500 0.557 0.212
Rh4 0.788 0.888 0.367
Pt5 0.500 0.443 0.788
Pt6 0.862 0.026 0.663
Pt7 0.212 0.500 0.557
Rh5 0.367 0.788 0.888
Pt8 0.557 0.212 0.500
Pt9 0.443 0.788 0.500
Pt10 0.337 0.138 0.974
Ta1 0.000 0.000 0.000
Pt11 0.663 0.862 0.026
Pt12 0.138 0.974 0.337
Rh6 0.112 0.633 0.212

- M_tot: 0.000 μB per formula unit
- Formation energy: 2.68 eV per formula unit
- Raw total energy: -6.62 eV per atom
- Theoretical density: 16.10 g/cm3

---

# 4
Here is a relaxed structure of TaPt6Rh8 from the Alexandria database. Energies are from PBE-GGA.

Lattice parameters (Å, degrees): 4.997 7.391 7.391 120.00 90.00 90.00
Fractional positions:
Pt1 0.682 0.450 0.348
Rh1 0.823 0.239 0.950
Pt2 0.682 0.652 0.102
Pt3 0.318 0.550 0.652
Rh2 0.791 0.333 0.667
Rh3 0.177 0.289 0.239
Rh4 0.209 0.667 0.333
Rh5 0.177 0.761 0.050
Rh6 0.823 0.711 0.761
Rh7 0.177 0.950 0.711
Ta1 0.500 0.000 0.000
Pt4 0.318 0.102 0.450
Pt5 0.318 0.348 0.898
Pt6 0.682 0.898 0.550
Rh8 0.823 0.050 0.289

- M_tot: 0.000 μB per formula unit
- Formation energy: 1.47 eV per formula unit
- Raw total energy: -7.03 eV per atom
- Theoretical density: 15.28 g/cm3

---

# 5
Here is a relaxed structure of Ta2PtRh from the Alexandria database. Energies are from PBE-GGA.

Lattice parameters (Å, degrees): 4.522 4.522 4.522 60.00 60.00 60.00
Fractional positions:
Pt1 0.500 0.500 0.500
Ta1 0.000 0.000 0.000
Rh1 0.750 0.750 0.750
Ta2 0.250 0.250 0.250

- M_tot: 0.000 μB per formula unit
- Formation energy: -1.24 eV per formula unit
- Raw total energy: -9.58 eV per atom
- Theoretical density: 16.76 g/cm3

---

# 6
Here is a relaxed structure of Ta2Pt2Rh from the Alexandria database. Energies are from PBE-GGA.

Lattice parameters (Å, degrees): 2.827 4.040 7.477 74.33 90.00 90.00
Fractional positions:
Pt1 0.000 0.189 0.622
Ta1 0.500 0.606 0.789
Ta2 0.500 0.394 0.211
Pt2 0.000 0.811 0.378
Rh1 0.000 0.000 0.000

- M_tot: 0.000 μB per formula unit
- Formation energy: -2.61 eV per formula unit
- Raw total energy: -9.15 eV per atom
- E above lowest polymorph: 0 meV/atom
- Theoretical density: 17.27 g/cm3

---

# 7
Here is a relaxed structure of Ta3Pt2Rh2 from the Alexandria database. Energies are from PBE-GGA.

Lattice parameters (Å, degrees): 4.044 2.849 10.050 90.00 78.39 90.00
Fractional positions:
Ta1 0.153 0.000 0.694
Ta2 0.847 0.000 0.306
Rh1 0.292 0.500 0.417
Pt1 0.571 0.500 0.858
Ta3 0.000 0.000 0.000
Rh2 0.708 0.500 0.583
Pt2 0.429 0.500 0.142

- M_tot: 0.000 μB per formula unit
- Formation energy: -3.52 eV per formula unit
- Raw total energy: -9.41 eV per atom
- Theoretical density: 16.67 g/cm3

---

# 8
Here is a relaxed structure of TaPt7Rh4 from the Alexandria database. Energies are from PBE-GGA.

Lattice parameters (Å, degrees): 5.567 8.344 4.835 73.15 89.90 60.03
Fractional positions:
Rh1 0.248 0.338 0.166
Ta1 0.000 0.000 0.000
Pt1 0.004 0.328 0.674
Pt2 0.249 0.000 0.499
Rh2 0.503 0.329 0.665
Pt3 0.253 0.666 0.838
Pt4 0.996 0.672 0.326
Pt5 0.751 0.000 0.501
Pt6 0.747 0.334 0.162
Rh3 0.752 0.662 0.834
Rh4 0.497 0.671 0.335
Pt7 0.500 0.000 0.000

- M_tot: 0.000 μB per formula unit
- Formation energy: -3.18 eV per formula unit
- Raw total energy: -7.23 eV per atom
- Theoretical density: 17.73 g/cm3

---

# 9
Here is a relaxed structure of TaPt2Rh from the Alexandria database. Energies are from PBE-GGA.

Lattice parameters (Å, degrees): 9.351 9.351 9.351 17.35 17.35 17.35
Fractional positions:
Rh1 0.500 0.500 0.500
Pt1 0.251 0.251 0.251
Pt2 0.749 0.749 0.749
Ta1 0.000 0.000 0.000

- M_tot: 0.954 μB per formula unit
- Formation energy: -1.00 eV per formula unit
- Raw total energy: -8.07 eV per atom
- Theoretical density: 17.64 g/cm3

---

# 10
Here is a relaxed structure of Ta2PtRh from the Alexandria database. Energies are from PBE-GGA.

Lattice parameters (Å, degrees): 3.332 3.332 6.004 90.00 90.00 90.00
Fractional positions:
Ta1 0.500 0.500 0.271
Ta2 0.000 0.000 0.973
Pt1 0.000 0.000 0.489
Rh1 0.500 0.500 0.767

- M_tot: 0.000 μB per formula unit
- Formation energy: -2.16 eV per formula unit
- Raw total energy: -9.81 eV per atom
- Theoretical density: 16.44 g/cm3

---

# 11
Here is a relaxed structure of TaTiPtRh from the Alexandria database. Energies are from PBE-GGA.

Lattice parameters (Å, degrees): 3.885 3.886 5.007 112.83 112.82 90.00
Fractional positions:
Ta1 0.620 0.620 0.240
Rh1 0.120 0.120 0.240
Pt1 0.370 0.870 0.740
Ti1 0.870 0.370 0.740

- M_tot: 0.000 μB per formula unit
- Formation energy: -2.52 eV per formula unit
- Raw total energy: -8.91 eV per atom
- Theoretical density: 13.84 g/cm3

---

# 12
Here is a relaxed structure of TaVPtRh from the Alexandria database. Energies are from PBE-GGA.

Lattice parameters (Å, degrees): 3.880 3.958 3.934 90.00 90.00 90.00
Fractional positions:
V1 0.500 0.000 0.500
Pt1 0.000 0.000 0.000
Rh1 0.500 0.500 0.000
Ta1 0.000 0.500 0.500

- M_tot: 0.000 μB per formula unit
- Formation energy: -2.23 eV per formula unit
- Raw total energy: -9.15 eV per atom
- Theoretical density: 14.56 g/cm3

---

# 13
Here is a relaxed structure of TaZnPtRh from the Alexandria database. Energies are from PBE-GGA.

Lattice parameters (Å, degrees): 4.025 4.025 4.715 115.27 115.26 90.00
Fractional positions:
Ta1 0.750 0.250 0.500
Pt1 0.500 0.500 0.000
Zn1 0.250 0.750 0.500
Rh1 0.000 0.000 0.000

- M_tot: 0.000 μB per formula unit
- Formation energy: -2.42 eV per formula unit
- Raw total energy: -7.23 eV per atom
- E above lowest polymorph: 0 meV/atom
- Theoretical density: 14.84 g/cm3

---

# 14
Here is a relaxed structure of Ta2ZnPtRh from the Alexandria database. Energies are from PBE-GGA.

Lattice parameters (Å, degrees): 4.611 4.470 4.611 90.00 90.00 90.00
Fractional positions:
Zn1 0.000 0.000 0.000
Ta1 0.500 0.000 0.000
Ta2 0.000 0.000 0.500
Rh1 0.500 0.500 0.500
Pt1 0.000 0.500 0.000

- M_tot: 0.000 μB per formula unit
- Formation energy: 5.67 eV per formula unit
- Raw total energy: -6.54 eV per atom
- Theoretical density: 12.67 g/cm3

---

# 15
Here is a relaxed structure of TaZnPtRh from the Alexandria database. Energies are from PBE-GGA.

Lattice parameters (Å, degrees): 4.447 4.447 4.447 60.00 60.00 60.00
Fractional positions:
Zn1 0.500 0.500 0.500
Rh1 0.250 0.250 0.250
Ta1 0.000 0.000 0.000
Pt1 0.750 0.750 0.750

- M_tot: 0.000 μB per formula unit
- Formation energy: -1.98 eV per formula unit
- Raw total energy: -7.12 eV per atom
- E above lowest polymorph: 110 meV/atom
- Theoretical density: 14.54 g/cm3

---

# 16
Here is a relaxed structure of Zr2TaPtRh from the Alexandria database. Energies are from PBE-GGA.

Lattice parameters (Å, degrees): 5.105 4.545 5.105 90.00 90.00 90.00
Fractional positions:
Ta1 0.000 0.000 0.000
Zr1 0.500 0.000 0.000
Rh1 0.000 0.500 0.000
Zr2 0.000 0.000 0.500
Pt1 0.500 0.500 0.500

- M_tot: 0.000 μB per formula unit
- Formation energy: 4.41 eV per formula unit
- Raw total energy: -7.59 eV per atom
- Theoretical density: 9.27 g/cm3

---

# 17
Here is a relaxed structure of Tb8Pt5Rh from the Alexandria database. Energies are from PBE-GGA.

Lattice parameters (Å, degrees): 7.573 7.573 7.573 109.61 109.20 109.61
Fractional positions:
Tb1 0.000 0.132 0.749
Tb2 0.124 0.751 0.502
Tb3 0.628 0.379 0.876
Tb4 0.751 0.249 0.372
Pt1 0.752 0.624 0.626
Pt2 0.871 0.874 0.248
Pt3 0.374 0.126 0.998
Tb5 0.618 0.868 0.869
Tb6 0.131 0.749 0.000
Pt4 0.002 0.376 0.129
Tb7 0.498 0.621 0.249
Pt5 0.500 0.000 0.500
Rh1 0.250 0.500 0.750
Tb8 0.251 0.251 0.382

- M_tot: 0.000 μB per formula unit
- Formation energy: -14.60 eV per formula unit
- Raw total energy: -6.37 eV per atom
- Theoretical density: 11.67 g/cm3

---

# 18
Here is a relaxed structure of Tb8Pt2Rh from the Alexandria database. Energies are from PBE-GGA.

Lattice parameters (Å, degrees): 6.040 7.598 7.598 112.77 100.65 100.65
Fractional positions:
Tb1 0.585 0.340 0.082
Tb2 0.810 0.645 0.645
Tb3 0.988 0.790 0.213
Tb4 0.988 0.213 0.790
Rh1 0.148 0.005 0.005
Tb5 0.374 0.922 0.666
Pt1 0.489 0.692 0.317
Tb6 0.169 0.361 0.361
Pt2 0.489 0.317 0.692
Tb7 0.374 0.666 0.922
Tb8 0.585 0.082 0.340

- M_tot: 0.000 μB per formula unit
- Formation energy: -6.02 eV per formula unit
- Raw total energy: -5.68 eV per atom
- E above lowest polymorph: 88 meV/atom
- Theoretical density: 9.67 g/cm3

---

# 19
Here is a relaxed structure of Tb2Pt9Rh from the Alexandria database. Energies are from PBE-GGA.

Lattice parameters (Å, degrees): 4.061 4.061 12.292 90.00 90.00 90.00
Fractional positions:
Pt1 0.000 0.500 0.500
Pt2 0.000 0.500 0.843
Pt3 0.500 0.500 0.672
Pt4 0.500 0.000 0.843
Rh1 0.000 0.000 0.000
Pt5 0.500 0.500 0.000
Pt6 0.500 0.500 0.328
Pt7 0.500 0.000 0.500
Pt8 0.500 0.000 0.157
Pt9 0.000 0.500 0.157
Tb1 0.000 0.000 0.670
Tb2 0.000 0.000 0.330

- M_tot: 1.397 μB per formula unit
- Formation energy: -7.66 eV per formula unit
- Raw total energy: -6.55 eV per atom
- Theoretical density: 17.83 g/cm3

---

# 20
Here is a relaxed structure of Tb2PtRh3 from the Alexandria database. Energies are from PBE-GGA.

Lattice parameters (Å, degrees): 5.368 5.368 5.372 90.00 119.99 119.99
Fractional positions:
Pt1 0.000 0.000 0.000
Tb1 0.751 0.376 0.127
Rh1 0.000 0.000 0.500
Tb2 0.249 0.624 0.873
Rh2 0.500 0.500 0.500
Rh3 0.500 0.000 0.500

- M_tot: 0.000 μB per formula unit
- Formation energy: -5.10 eV per formula unit
- Raw total energy: -7.08 eV per atom
- Theoretical density: 12.46 g/cm3

---

# 21
Here is a relaxed structure of Tb7Pt2Rh2 from the Alexandria database. Energies are from PBE-GGA.

Lattice parameters (Å, degrees): 3.908 9.101 9.101 61.80 77.60 77.60
Fractional positions:
Pt1 0.500 0.352 0.648
Pt2 0.000 0.776 0.224
Tb1 0.614 0.492 0.279
Rh1 0.740 0.858 0.662
Rh2 0.260 0.338 0.142
Tb2 0.386 0.721 0.508
Tb3 0.500 0.998 0.002
Tb4 0.190 0.705 0.914
Tb5 0.128 0.134 0.609
Tb6 0.810 0.086 0.295
Tb7 0.872 0.391 0.866

- M_tot: 0.000 μB per formula unit
- Formation energy: -8.97 eV per formula unit
- Raw total energy: -6.20 eV per atom
- E above lowest polymorph: 0 meV/atom
- Theoretical density: 10.27 g/cm3

---

# 22
Here is a relaxed structure of Tb8Pt2Rh3 from the Alexandria database. Energies are from PBE-GGA.

Lattice parameters (Å, degrees): 4.849 9.781 8.445 125.43 90.00 90.00
Fractional positions:
Tb1 0.000 0.377 0.754
Tb2 0.000 0.876 0.752
Tb3 0.000 0.623 0.246
Tb4 0.000 0.124 0.248
Tb5 0.500 0.628 0.754
Rh1 0.500 0.000 0.000
Tb6 0.500 0.125 0.753
Pt1 0.500 0.252 0.504
Pt2 0.500 0.748 0.496
Rh2 0.000 0.751 0.000
Tb7 0.500 0.875 0.247
Tb8 0.500 0.372 0.246
Rh3 0.000 0.249 0.000

- M_tot: 0.000 μB per formula unit
- Formation energy: -10.32 eV per formula unit
- Raw total energy: -6.27 eV per atom
- Theoretical density: 10.03 g/cm3

---

# 23
Here is a relaxed structure of Tb4PtRh from the Alexandria database. Energies are from PBE-GGA.

Lattice parameters (Å, degrees): 6.910 6.910 6.919 90.00 91.37 90.00
Fractional positions:
Tb1 0.679 0.672 0.669
Tb2 0.836 0.670 0.174
Rh1 0.500 0.000 0.500
Tb3 0.664 0.170 0.826
Tb4 0.164 0.330 0.826
Pt1 0.500 0.500 0.000
Tb5 0.336 0.830 0.174
Tb6 0.179 0.828 0.669
Tb7 0.821 0.172 0.331
Tb8 0.321 0.328 0.331
Pt2 0.000 0.000 0.000
Rh2 0.000 0.500 0.500

- M_tot: 0.000 μB per formula unit
- Formation energy: -4.25 eV per formula unit
- Raw total energy: -6.03 eV per atom
- Theoretical density: 9.39 g/cm3

---

# 24
Here is a relaxed structure of Tb6Pt5Rh from the Alexandria database. Energies are from PBE-GGA.

Lattice parameters (Å, degrees): 4.968 6.932 8.591 66.21 73.09 90.00
Fractional positions:
Tb1 0.500 0.751 0.000
Rh1 0.000 0.000 0.000
Tb2 0.166 0.916 0.669
Pt1 0.336 0.837 0.326
Pt2 0.670 0.668 0.663
Pt3 0.000 0.500 0.000
Tb3 0.500 0.249 0.000
Tb4 0.834 0.084 0.331
Tb5 0.834 0.585 0.331
Tb6 0.166 0.415 0.669
Pt4 0.330 0.332 0.337
Pt5 0.664 0.163 0.674

- M_tot: 0.000 μB per formula unit
- Formation energy: -13.74 eV per formula unit
- Raw total energy: -6.59 eV per atom
- Theoretical density: 13.15 g/cm3